Compound: Na2AcBiTe4
Source: Alexandria via LeMat-Bulk
Functional: GGA-PBE
Structure: optimized geometry

Cell lengths 8.034, 4.656, 8.073 Å; angles 90.00, 109.51, 90.00 degrees
Space group P2/m (No. 10)
Symmetry-distinct sites (fractional):
Na 0.000 0.000 0.000 x1
Na 0.500 0.500 0.000 x1
Ac 0.000 0.500 0.500 x1
Bi 0.500 0.000 0.500 x1
Te 0.261 0.000 0.747 x2
Te 0.266 0.500 0.260 x2

Output
- magnetic moment (μB per formula unit) = 0.000
- ΔE_f (raw) (meV/atom) = -955
- E (eV per cell) = -30.83
- volume (Å³ per cell) = 284.65